# Er2Tc2O5, optimized geometry, DFT PBE
data_Er2Tc2O5
_cell_length_a 9.306
_cell_length_b 3.553
_cell_length_c 3.553
_cell_angle_alpha 90.00
_cell_angle_beta 90.00
_cell_angle_gamma 90.00
_space_group_name_H-M_alt 'P 1'
_space_group_IT_number 1
_space_group_name_Hall 'P 1'
loop_
_atom_site_label
_atom_site_type_symbol
_atom_site_fract_x
_atom_site_fract_y
_atom_site_fract_z
Tc1 Tc 0.000 0.000 0.000
O1 O 0.126 0.500 0.000
O2 O 0.874 0.500 0.000
O3 O 0.874 0.000 0.500
O4 O 0.500 0.500 0.500
Er1 Er 0.259 0.500 0.500
Tc2 Tc 0.500 0.000 0.000
Er2 Er 0.741 0.500 0.500
O5 O 0.126 0.000 0.500
# SG: P4/mmm
# mass density: 8.63 g cm⁻³
# total DFT energy (no corrections): -7.73 eV/atom